[1]
{
  "formula": "CaCrHg4",
  "functional": "GGA-PBE",
  "state": "relaxed",
  "cell": [[0.0000, 4.1675, 4.1675], [4.1675, 0.0000, 4.1675], [4.1675, 4.1675, 0.0000]],
  "species": ["Ca", "Cr", "Hg", "Hg", "Hg", "Hg"],
  "fractional_positions": [[0.0000, 0.0000, 0.0000], [0.7500, 0.7500, 0.7500], [0.3753, 0.3753, 0.3753], [0.3753, 0.3753, 0.8742], [0.3753, 0.8742, 0.3753], [0.8742, 0.3753, 0.3753]],
  "formation_enthalpy_0k_ev_per_atom": 0.13,
  "spacegroup": "F-43m (216)"
}



[2]
{
  "formula": "CaCrHg2",
  "functional": "GGA-PBE",
  "state": "relaxed",
  "cell": [[10.4707, 0.0000, 0.0000], [0.0000, 4.0512, 0.0000], [-1.9504, 0.0000, 4.4340]],
  "species": ["Ca", "Ca", "Cr", "Cr", "Hg", "Hg", "Hg", "Hg"],
  "fractional_positions": [[0.0000, 0.0000, 0.0000], [0.5000, 0.5000, 0.0000], [0.2339, 0.0000, 0.7042], [0.7339, 0.5000, 0.7042], [0.0077, 0.5000, 0.5157], [0.2594, 0.5000, 0.2528], [0.5077, 0.0000, 0.5157], [0.7594, 0.0000, 0.2528]],
  "formation_enthalpy_0k_ev_per_atom": 0.08,
  "spacegroup": "Cm (8)"
}



[3]
{
  "formula": "Ca2CrInHg",
  "functional": "GGA-PBE",
  "state": "relaxed",
  "cell": [[5.9629, 0.0000, 0.0000], [0.0000, 5.9629, 0.0000], [0.0000, 0.0000, 5.1617]],
  "species": ["Ca", "Ca", "Cr", "In", "Hg"],
  "fractional_positions": [[0.0000, 0.5000, 0.0000], [0.5000, 0.0000, 0.0000], [0.0000, 0.0000, 0.5000], [0.0000, 0.0000, 0.0000], [0.5000, 0.5000, 0.5000]],
  "formation_enthalpy_0k_ev_per_atom": 0.35,
  "spacegroup": "P4/mmm (123)"
}



[4]
{
  "formula": "Ca2CrHgN",
  "functional": "GGA-PBE",
  "state": "relaxed",
  "cell": [[5.1554, 0.0000, 0.0000], [0.0000, 5.1554, 0.0000], [0.0000, 0.0000, 3.8019]],
  "species": ["Ca", "Ca", "Cr", "Hg", "N"],
  "fractional_positions": [[0.0000, 0.5000, 0.0000], [0.5000, 0.0000, 0.0000], [0.0000, 0.0000, 0.5000], [0.5000, 0.5000, 0.5000], [0.0000, 0.0000, 0.0000]],
  "e_form_raw_kcal_per_mol_atoms": -12.23,
  "spacegroup": "P4/mmm (123)"
}



[5]
{
  "formula": "CaCr2HgN",
  "functional": "GGA-PBE",
  "state": "relaxed",
  "cell": [[3.9563, 0.0000, 0.0000], [0.0000, 3.9563, 0.0000], [0.0000, 0.0000, 4.7685]],
  "species": ["Ca", "Cr", "Cr", "Hg", "N"],
  "fractional_positions": [[0.0000, 0.0000, 0.0000], [0.0000, 0.5000, 0.5000], [0.5000, 0.0000, 0.5000], [0.5000, 0.5000, 0.0000], [0.0000, 0.0000, 0.5000]],
  "e_form_raw_kcal_per_mol_atoms": 0.46,
  "spacegroup": "P4/mmm (123)"
}